Record 1
# Pr2CuAsS5 PBE-GGA optimized geometry
data_Pr2CuAsS5
_cell_length_a 4.006
_cell_length_b 17.413
_cell_length_c 11.361
_cell_angle_alpha 90.00
_cell_angle_beta 90.00
_cell_angle_gamma 90.00
_symmetry_space_group_name_H-M 'C m c 21'
_symmetry_Int_Tables_number 36
loop_
_symmetry_equiv_pos_as_xyz
'x,y,z'
'-x,-y,z+1/2'
'-x,y,z'
'x,-y,z+1/2'
'x+1/2,y+1/2,z'
'-x+1/2,-y+1/2,z+1/2'
'-x+1/2,y+1/2,z'
'x+1/2,-y+1/2,z+1/2'
loop_
_atom_site_label
_atom_site_fract_x
_atom_site_fract_y
_atom_site_fract_z
Pr1 0.000 0.114 0.000
Pr2 0.000 0.123 0.622
Cu1 0.000 0.249 0.427
As1 0.000 0.408 0.793
S1 0.000 0.038 0.387
S2 0.000 0.303 0.636
S3 0.000 0.309 0.963
S4 0.000 0.356 0.314
S5 0.000 0.493 0.612
# * theoretical density: 4.9 Mg/m³
# * formation energy from raw total energies: -1.160 eV/atom
# * raw total energy: -49.38 eV/f.u.

---

Record 2
# PrCuAsS PBE-GGA optimized geometry
data_PrCuAsS
_cell_length_a 4.499
_cell_length_b 4.499
_cell_length_c 8.437
_cell_angle_alpha 90.00
_cell_angle_beta 90.00
_cell_angle_gamma 90.00
_symmetry_space_group_name_H-M 'P 4/n m m'
_symmetry_Int_Tables_number 129
loop_
_symmetry_equiv_pos_as_xyz
'x,y,z'
'-x,-y,-z'
'-y+1/2,x,z'
'y+1/2,-x,-z'
'-x+1/2,-y+1/2,z'
'x+1/2,y+1/2,-z'
'y,-x+1/2,z'
'-y,x+1/2,-z'
'x+1/2,-y,-z'
'-x+1/2,y,z'
'-y,-x,-z'
'y,x,z'
'-x,y+1/2,-z'
'x,-y+1/2,z'
'y+1/2,x+1/2,-z'
'-y+1/2,-x+1/2,z'
loop_
_atom_site_label
_atom_site_fract_x
_atom_site_fract_y
_atom_site_fract_z
Pr1 0.250 0.250 0.194
Cu1 0.250 0.750 0.500
As1 0.250 0.250 0.637
S1 0.250 0.750 0.000
# * theoretical density: 6.1 Mg/m³
# * formation energy from raw total energies: -0.916 eV/atom
# * raw total energy: -21.32 eV/f.u.
# * density of states at the Fermi level: 5.11 states/eV/cell

---

Record 3
# SrPrCu2As2 PBE-GGA optimized geometry
data_SrPrCu2As2
_cell_length_a 4.2099
_cell_length_b 4.2099
_cell_length_c 8.5634
_cell_angle_alpha 90.00
_cell_angle_beta 90.00
_cell_angle_gamma 120.00
_symmetry_space_group_name_H-M 'P -3 m 1'
_symmetry_Int_Tables_number 164
_symmetry_space_group_name_Hall '-P 3 2"'
loop_
_atom_site_label
_atom_site_fract_x
_atom_site_fract_y
_atom_site_fract_z
Sr1 0.0000 0.0000 0.0000
Pr1 0.0000 0.0000 0.5000
Cu1 0.3333 0.6667 0.7294
As1 0.3333 0.6667 0.2555
# * theoretical density: 6.4 Mg/m³
# * raw total energy: -29.06 eV/f.u.
# * density of states at the Fermi level: 3.03 states/eV/cell
# * DFT formation energy: -0.85 eV/atom

---

Record 4
# Cu2As2Pt PBE-GGA optimized geometry
data_Cu2As2Pt
_cell_length_a 6.735
_cell_length_b 6.735
_cell_length_c 3.571
_cell_angle_alpha 90.00
_cell_angle_beta 90.00
_cell_angle_gamma 90.00
_symmetry_space_group_name_H-M 'P 4/m b m'
_symmetry_Int_Tables_number 127
_symmetry_space_group_name_Hall '-P 4 2ab'
loop_
_atom_site_label
_atom_site_fract_x
_atom_site_fract_y
_atom_site_fract_z
Cu1 0.133 0.367 0.000
As1 0.159 0.659 0.500
Pt1 0.000 0.000 0.500
# * theoretical density: 9.7 Mg/m³
# * raw total energy: -22.95 eV/f.u.
# * density of states at the Fermi level: 4.61 states/eV/cell
# * DFT formation energy: 0.12 eV/atom

---

Record 5
# CuAs4Pt PBE-GGA optimized geometry
data_CuAs4Pt
_cell_length_a 7.667
_cell_length_b 7.667
_cell_length_c 7.667
_cell_angle_alpha 90.00
_cell_angle_beta 90.00
_cell_angle_gamma 90.00
_symmetry_space_group_name_H-M 'F -4 3 m'
_symmetry_Int_Tables_number 216
_symmetry_space_group_name_Hall 'F -4 2 3'
loop_
_atom_site_label
_atom_site_fract_x
_atom_site_fract_y
_atom_site_fract_z
Cu1 0.000 0.000 0.000
As1 0.128 0.128 0.628
Pt1 0.250 0.250 0.250
# * theoretical density: 8.2 Mg/m³
# * raw total energy: -24.72 eV/f.u.
# * density of states at the Fermi level: 22.46 states/eV/cell
# * DFT formation energy: 0.67 eV/atom

---

Record 6
# Cu4AsPt PBE-GGA optimized geometry
data_Cu4AsPt
_cell_length_a 6.887
_cell_length_b 6.887
_cell_length_c 6.887
_cell_angle_alpha 90.00
_cell_angle_beta 90.00
_cell_angle_gamma 90.00
_symmetry_space_group_name_H-M 'F -4 3 m'
_symmetry_Int_Tables_number 216
_symmetry_space_group_name_Hall 'F -4 2 3'
loop_
_atom_site_label
_atom_site_fract_x
_atom_site_fract_y
_atom_site_fract_z
Cu1 0.125 0.125 0.125
As1 0.250 0.250 0.750
Pt1 0.000 0.000 0.500
# * theoretical density: 10.7 Mg/m³
# * raw total energy: -26.61 eV/f.u.
# * density of states at the Fermi level: 9.53 states/eV/cell
# * DFT formation energy: 0.08 eV/atom

---

Record 7
# Cu3AsPt PBE-GGA optimized geometry
data_Cu3AsPt
_cell_length_a 4.408
_cell_length_b 4.408
_cell_length_c 4.408
_cell_angle_alpha 90.00
_cell_angle_beta 90.00
_cell_angle_gamma 90.00
_symmetry_space_group_name_H-M 'P m -3 m'
_symmetry_Int_Tables_number 221
_symmetry_space_group_name_Hall '-P 4 2 3'
loop_
_atom_site_label
_atom_site_fract_x
_atom_site_fract_y
_atom_site_fract_z
Cu1 0.000 0.000 0.500
As1 0.000 0.000 0.000
Pt1 0.500 0.500 0.500
# * theoretical density: 8.9 Mg/m³
# * raw total energy: -20.13 eV/f.u.
# * density of states at the Fermi level: 1.46 states/eV/cell
# * distance to the lowest polymorph of the same formula: 0.0 kJ/mol of atoms
# * DFT formation energy: 0.57 eV/atom

---

Record 8
# CuAsPt3 PBE-GGA optimized geometry
data_CuAsPt3
_cell_length_a 4.645
_cell_length_b 4.645
_cell_length_c 4.645
_cell_angle_alpha 90.00
_cell_angle_beta 90.00
_cell_angle_gamma 90.00
_symmetry_space_group_name_H-M 'P m -3 m'
_symmetry_Int_Tables_number 221
_symmetry_space_group_name_Hall '-P 4 2 3'
loop_
_atom_site_label
_atom_site_fract_x
_atom_site_fract_y
_atom_site_fract_z
Cu1 0.000 0.000 0.000
As1 0.500 0.500 0.500
Pt1 0.000 0.500 0.500
# * theoretical density: 12.0 Mg/m³
# * raw total energy: -23.83 eV/f.u.
# * density of states at the Fermi level: 2.49 states/eV/cell
# * DFT formation energy: 0.61 eV/atom

---

| no. | total magnetization (μB/atom) |
| --- | --- |
| 1 | 0.0000 |
| 2 | 0.0000 |
| 3 | 0.0000 |
| 4 | 0.0000 |
| 5 | 0.0000 |
| 6 | 0.0000 |
| 7 | 0.0000 |
| 8 | 0.0000 |